(1)
This record from the Alexandria database describes a relaxed Ca2Y2Tl3 crystal. The functional is PBE-GGA.

Geometry as CIF:
```
data_Ca2Y2Tl3
_chemical_formula_sum 'Ca6 Y6 Tl9'
_space_group_name_H-M_alt 'R -3 m'
_space_group_IT_number 166
_space_group_name_Hall '-R 3 2"'
_cell_length_a 5.2975
_cell_length_b 5.2975
_cell_length_c 26.8778
_cell_angle_alpha 90.00
_cell_angle_beta 90.00
_cell_angle_gamma 120.00
loop_
_atom_site_label
_atom_site_type_symbol
_atom_site_fract_x
_atom_site_fract_y
_atom_site_fract_z
_atom_site_occupancy
Ca1 Ca 0.0000 0.0000 0.1282 1
Y1 Y 0.0000 0.0000 0.3779 1
Tl1 Tl 0.0000 0.0000 0.0000 1
Tl2 Tl 0.0000 0.0000 0.2502 1
```

Output
* volume: 31.10 A^3/atom
* formation energy: -305 meV per atom
* M_tot: 0.000 μB per formula unit
* DOS at the Fermi energy: 15.48 states/eV/cell

=====

(2)
This record from the Alexandria database describes a relaxed CaY2Tl crystal. The functional is PBE-GGA.

Geometry as CIF:
```
data_CaY2Tl
_chemical_formula_sum 'Ca3 Y6 Tl3'
_space_group_name_H-M_alt 'R 3 m'
_space_group_IT_number 160
_space_group_name_Hall 'R 3 -2"'
_cell_length_a 3.6421
_cell_length_b 3.6421
_cell_length_c 33.8272
_cell_angle_alpha 90.00
_cell_angle_beta 90.00
_cell_angle_gamma 120.00
loop_
_atom_site_label
_atom_site_type_symbol
_atom_site_fract_x
_atom_site_fract_y
_atom_site_fract_z
_atom_site_occupancy
Ca1 Ca 0.0000 0.0000 0.0000 1
Y1 Y 0.0000 0.0000 0.5127 1
Y2 Y 0.0000 0.0000 0.7623 1
Tl1 Tl 0.0000 0.0000 0.2566 1
```

Output
* volume: 32.38 A^3/atom
* formation energy: -109 meV per atom
* E above lowest polymorph: 87 meV/atom
* M_tot: 0.464 μB per formula unit
* DOS at the Fermi energy: 14.78 states/eV/cell

=====

(3)
This record from the Alexandria database describes a relaxed CaY2Tl crystal. The functional is PBE-GGA.

Geometry as CIF:
```
data_CaY2Tl
_chemical_formula_sum 'Ca4 Y8 Tl4'
_space_group_name_H-M_alt 'I -4 2 d'
_space_group_IT_number 122
_space_group_name_Hall 'I -4 2bw'
_cell_length_a 4.684
_cell_length_b 4.684
_cell_length_c 23.720
_cell_angle_alpha 90.00
_cell_angle_beta 90.00
_cell_angle_gamma 90.00
loop_
_atom_site_label
_atom_site_type_symbol
_atom_site_fract_x
_atom_site_fract_y
_atom_site_fract_z
_atom_site_occupancy
Ca1 Ca 0.000 0.000 0.000 1
Y1 Y 0.230 0.250 0.625 1
Tl1 Tl 0.000 0.000 0.500 1
```

Output
* volume: 32.52 A^3/atom
* formation energy: 164 meV per atom
* E above lowest polymorph: 360 meV/atom
* M_tot: 0.000 μB per formula unit
* DOS at the Fermi energy: 22.44 states/eV/cell

=====

(4)
This record from the Alexandria database describes a relaxed CaYTl6 crystal. The functional is PBE-GGA.

Geometry as CIF:
```
data_CaYTl6
_chemical_formula_sum 'Ca1 Y1 Tl6'
_space_group_name_H-M_alt 'P 4/m m m'
_space_group_IT_number 123
_space_group_name_Hall '-P 4 2'
_cell_length_a 4.799
_cell_length_b 4.799
_cell_length_c 9.674
_cell_angle_alpha 90.00
_cell_angle_beta 90.00
_cell_angle_gamma 90.00
loop_
_atom_site_label
_atom_site_type_symbol
_atom_site_fract_x
_atom_site_fract_y
_atom_site_fract_z
_atom_site_occupancy
Ca1 Ca 0.000 0.000 0.000 1
Y1 Y 0.000 0.000 0.500 1
Tl1 Tl 0.000 0.500 0.253 1
Tl2 Tl 0.500 0.500 0.000 1
Tl3 Tl 0.500 0.500 0.500 1
```

Output
* volume: 27.85 A^3/atom
* formation energy: -239 meV per atom
* M_tot: 0.000 μB per formula unit
* DOS at the Fermi energy: 4.20 states/eV/cell

=====

(5)
This record from the Alexandria database describes a relaxed CaY2Tl crystal. The functional is PBE-GGA.

Geometry as CIF:
```
data_CaY2Tl
_chemical_formula_sum 'Ca3 Y6 Tl3'
_space_group_name_H-M_alt 'R -3 m'
_space_group_IT_number 166
_space_group_name_Hall '-R 3 2"'
_cell_length_a 3.7214
_cell_length_b 3.7214
_cell_length_c 33.3121
_cell_angle_alpha 90.00
_cell_angle_beta 90.00
_cell_angle_gamma 120.00
loop_
_atom_site_label
_atom_site_type_symbol
_atom_site_fract_x
_atom_site_fract_y
_atom_site_fract_z
_atom_site_occupancy
Ca1 Ca 0.0000 0.0000 0.0000 1
Y1 Y 0.0000 0.0000 0.2394 1
Tl1 Tl 0.0000 0.0000 0.5000 1
```

Output
* volume: 33.29 A^3/atom
* formation energy: -66 meV per atom
* E above lowest polymorph: 129 meV/atom
* M_tot: 0.000 μB per formula unit
* DOS at the Fermi energy: 17.07 states/eV/cell

=====

(6)
This record from the Alexandria database describes a relaxed Ca12Y5Tl3 crystal. The functional is PBE-GGA.

Geometry as CIF:
```
data_Ca12Y5Tl3
_chemical_formula_sum 'Ca96 Y40 Tl24'
_space_group_name_H-M_alt 'I a -3 d'
_space_group_IT_number 230
_space_group_name_Hall '-I 4bd 2c 3'
_cell_length_a 19.456
_cell_length_b 19.456
_cell_length_c 19.456
_cell_angle_alpha 90.00
_cell_angle_beta 90.00
_cell_angle_gamma 90.00
loop_
_atom_site_label
_atom_site_type_symbol
_atom_site_fract_x
_atom_site_fract_y
_atom_site_fract_z
_atom_site_occupancy
Ca1 Ca 0.013 0.091 0.646 1
Y1 Y 0.000 0.000 0.000 1
Y2 Y 0.000 0.250 0.375 1
Tl1 Tl 0.000 0.250 0.125 1
```

Output
* volume: 46.03 A^3/atom
* formation energy: 717 meV per atom
* M_tot: 3.079 μB per formula unit
* DOS at the Fermi energy: 253.14 states/eV/cell

=====

(7)
This record from the Alexandria database describes a relaxed Ca2YTl crystal. The functional is PBE-GGA.

Geometry as CIF:
```
data_Ca2YTl
_chemical_formula_sum 'Ca8 Y4 Tl4'
_space_group_name_H-M_alt 'I -4 2 d'
_space_group_IT_number 122
_space_group_name_Hall 'I -4 2bw'
_cell_length_a 9.103
_cell_length_b 9.103
_cell_length_c 6.685
_cell_angle_alpha 90.00
_cell_angle_beta 90.00
_cell_angle_gamma 90.00
loop_
_atom_site_label
_atom_site_type_symbol
_atom_site_fract_x
_atom_site_fract_y
_atom_site_fract_z
_atom_site_occupancy
Ca1 Ca 0.208 0.250 0.125 1
Y1 Y 0.000 0.000 0.500 1
Tl1 Tl 0.000 0.000 0.000 1
```

Output
* volume: 34.62 A^3/atom
* formation energy: 79 meV per atom
* E above lowest polymorph: 265 meV/atom
* M_tot: 0.000 μB per formula unit
* DOS at the Fermi energy: 23.13 states/eV/cell

=====

(8)
This record from the Alexandria database describes a relaxed Ca2YTl crystal. The functional is PBE-GGA.

Geometry as CIF:
```
data_Ca2YTl
_chemical_formula_sum 'Ca2 Y1 Tl1'
_space_group_name_H-M_alt 'P 1 m 1'
_space_group_IT_number 6
_cell_length_a 3.725
_cell_length_b 5.105
_cell_length_c 7.119
_cell_angle_alpha 90.00
_cell_angle_beta 101.10
_cell_angle_gamma 90.00
loop_
_space_group_symop_operation_xyz
'x,y,z'
'x,-y,z'
loop_
_atom_site_label
_atom_site_type_symbol
_atom_site_fract_x
_atom_site_fract_y
_atom_site_fract_z
_atom_site_occupancy
Ca1 Ca 0.000 0.000 0.000 1
Ca2 Ca 0.400 0.500 0.716 1
Y1 Y 0.814 0.000 0.451 1
Tl1 Tl 0.424 0.500 0.239 1
```

Output
* volume: 33.21 A^3/atom
* formation energy: -120 meV per atom
* E above lowest polymorph: 65 meV/atom
* M_tot: 0.000 μB per formula unit
* DOS at the Fermi energy: 2.89 states/eV/cell

=====

(9)
This record from the Alexandria database describes a relaxed Ca2YTl crystal. The functional is PBE-GGA.

Geometry as CIF:
```
data_Ca2YTl
_chemical_formula_sum 'Ca4 Y2 Tl2'
_space_group_name_H-M_alt 'C 1 2/m 1'
_space_group_IT_number 12
_cell_length_a 13.171
_cell_length_b 3.932
_cell_length_c 5.570
_cell_angle_alpha 90.00
_cell_angle_beta 114.96
_cell_angle_gamma 90.00
loop_
_space_group_symop_operation_xyz
'x,y,z'
'-x,-y,-z'
'-x,y,-z'
'x,-y,z'
'x+1/2,y+1/2,z'
'-x+1/2,-y+1/2,-z'
'-x+1/2,y+1/2,-z'
'x+1/2,-y+1/2,z'
loop_
_atom_site_label
_atom_site_type_symbol
_atom_site_fract_x
_atom_site_fract_y
_atom_site_fract_z
_atom_site_occupancy
Ca1 Ca 0.218 0.000 0.218 1
Y1 Y 0.000 0.000 0.500 1
Tl1 Tl 0.000 0.500 0.000 1
```

Output
* volume: 32.69 A^3/atom
* formation energy: -137 meV per atom
* E above lowest polymorph: 49 meV/atom
* M_tot: 0.704 μB per formula unit
* DOS at the Fermi energy: 10.32 states/eV/cell

=====

(10)
This record from the Alexandria database describes a relaxed CaY5Tl3 crystal. The functional is PBE-GGA.

Geometry as CIF:
```
data_CaY5Tl3
_chemical_formula_sum 'Ca2 Y10 Tl6'
_space_group_name_H-M_alt 'P 63/m c m'
_space_group_IT_number 193
_space_group_name_Hall '-P 6c 2'
_cell_length_a 9.3858
_cell_length_b 9.3858
_cell_length_c 6.8150
_cell_angle_alpha 90.00
_cell_angle_beta 90.00
_cell_angle_gamma 120.00
loop_
_atom_site_label
_atom_site_type_symbol
_atom_site_fract_x
_atom_site_fract_y
_atom_site_fract_z
_atom_site_occupancy
Ca1 Ca 0.0000 0.0000 0.0000 1
Y1 Y 0.0000 0.3338 0.2500 1
Y2 Y 0.3333 0.6667 0.0000 1
Tl1 Tl 0.0000 0.3340 0.7500 1
```

Output
* volume: 28.89 A^3/atom
* formation energy: -315 meV per atom
* M_tot: 0.010 μB per formula unit
* DOS at the Fermi energy: 16.76 states/eV/cell

=====

(11)
This record from the Alexandria database describes a relaxed CaYTlZn crystal. The functional is PBE-GGA.

Geometry as CIF:
```
data_CaYTlZn
_chemical_formula_sum 'Ca4 Y4 Tl4 Zn4'
_space_group_name_H-M_alt 'F -4 3 m'
_space_group_IT_number 216
_space_group_name_Hall 'F -4 2 3'
_cell_length_a 7.469
_cell_length_b 7.469
_cell_length_c 7.469
_cell_angle_alpha 90.00
_cell_angle_beta 90.00
_cell_angle_gamma 90.00
loop_
_atom_site_label
_atom_site_type_symbol
_atom_site_fract_x
_atom_site_fract_y
_atom_site_fract_z
_atom_site_occupancy
Ca1 Ca 0.000 0.000 0.000 1
Y1 Y 0.000 0.000 0.500 1
Tl1 Tl 0.250 0.250 0.250 1
Zn1 Zn 0.250 0.250 0.750 1
```

Output
* volume: 26.05 A^3/atom
* formation energy: -353 meV per atom
* E above lowest polymorph: 9 meV/atom
* M_tot: 0.000 μB per formula unit
* DOS at the Fermi energy: 6.84 states/eV/cell

=====

(12)
This record from the Alexandria database describes a relaxed CaYTlZn crystal. The functional is PBE-GGA.

Geometry as CIF:
```
data_CaYTlZn
_chemical_formula_sum 'Ca1 Y1 Tl1 Zn1'
_space_group_name_H-M_alt 'P 4 m m'
_space_group_IT_number 99
_cell_length_a 3.697
_cell_length_b 3.697
_cell_length_c 7.629
_cell_angle_alpha 90.00
_cell_angle_beta 90.00
_cell_angle_gamma 90.00
loop_
_space_group_symop_operation_xyz
'x,y,z'
'-y,x,z'
'-x,-y,z'
'y,-x,z'
'-x,y,z'
'y,x,z'
'x,-y,z'
'-y,-x,z'
loop_
_atom_site_label
_atom_site_type_symbol
_atom_site_fract_x
_atom_site_fract_y
_atom_site_fract_z
_atom_site_occupancy
Ca1 Ca 0.000 0.000 0.000 1
Y1 Y 0.000 0.000 0.463 1
Tl1 Tl 0.500 0.500 0.728 1
Zn1 Zn 0.500 0.500 0.247 1
```

Output
* volume: 26.06 A^3/atom
* formation energy: -361 meV per atom
* E above lowest polymorph: 0 meV/atom
* M_tot: 0.191 μB per formula unit
* DOS at the Fermi energy: 2.44 states/eV/cell